Entry 1:
The following is a DFT calculation (GGA-PBE) of a relaxed Tl2MoAu crystal.

The total energy comes out at -4.08 eV/atom.

It has space group C2/m (No. 12), with a = 9.7842 Å, b = 3.0315 Å, c = 5.7063 Å, α = 90.00°, β = 101.19° and γ = 90.00°. The distinct sites, in fractional coordinates, are Tl at (0.2471, 0.0000, 0.2418), Mo at (0.0000, 0.5000, 0.0000) and Au at (0.0000, 0.0000, 0.5000).

=====

Entry 2:
The following is a DFT calculation (GGA-PBE) of a relaxed RbIn2Ag crystal.

The total energy comes out at -2.12 eV/atom.

It has space group Fm-3m (No. 225), with a = 7.7441 Å, b = 7.7441 Å, c = 7.7441 Å, α = 90.00°, β = 90.00° and γ = 90.00°. The distinct sites, in fractional coordinates, are Rb at (0.0000, 0.0000, 0.0000), In at (0.2500, 0.2500, 0.2500) and Ag at (0.0000, 0.0000, 0.5000).

=====

Entry 3:
The following is a DFT calculation (GGA-PBE) of a relaxed LaY2MnPb crystal.

The total energy comes out at -6.18 eV/atom.

It has space group P4/mmm (No. 123), with a = 5.2756 Å, b = 5.2756 Å, c = 5.0636 Å, α = 90.00°, β = 90.00° and γ = 90.00°. The distinct sites, in fractional coordinates, are La at (0.0000, 0.0000, 0.0000), Y at (0.0000, 0.5000, 0.5000), Mn at (0.0000, 0.0000, 0.5000) and Pb at (0.5000, 0.5000, 0.0000).

=====

Entry 4:
The following is a DFT calculation (GGA-PBE) of a relaxed AcPm3As4 crystal.

The total energy comes out at -6.09 eV/atom.

It has space group Pm-3m (No. 221), with a = 6.1169 Å, b = 6.1169 Å, c = 6.1169 Å, α = 90.00°, β = 90.00° and γ = 90.00°. The distinct sites, in fractional coordinates, are Ac at (0.0000, 0.0000, 0.0000), Pm at (0.0000, 0.5000, 0.5000), As at (0.0000, 0.0000, 0.5000) and As at (0.5000, 0.5000, 0.5000).

=====

Magnetization, respectively: 0.000; 0.000; 0.097; 0.000 μB per atom.